Compound: MgSc2NbPt
Source: Alexandria
Functional: PBE
Structure: relaxed

abc: 5.044 5.044 4.869
angles: 90.00 90.00 90.00
Atoms (fractional coordinates):
Mg 0.000 0.000 0.000
Sc 0.000 0.500 0.500
Sc 0.500 0.000 0.500
Nb 0.500 0.500 0.000
Pt 0.000 0.000 0.500

Summary:
D(E_F): 0.700 states/eV/atom
energy of formation: 0.208 eV per atom
uncorrected energy: -5.8657 eV per atom


Compound: Pu2MgNb
Source: Alexandria
Functional: PBE
Structure: relaxed

abc: 11.546 11.546 11.546
angles: 15.70 15.70 15.70
Atoms (fractional coordinates):
Pu 0.094 0.094 0.094
Pu 0.906 0.906 0.906
Mg 0.000 0.000 0.000
Nb 0.500 0.500 0.500

Summary:
D(E_F): 3.486 states/eV/atom
energy of formation: 0.366 eV per atom
uncorrected energy: -9.7156 eV per atom


Compound: RbMgNb3
Source: Alexandria
Functional: PBE
Structure: relaxed

abc: 4.837 4.837 4.837
angles: 90.00 90.00 90.00
Atoms (fractional coordinates):
Rb 0.000 0.000 0.000
Mg 0.500 0.500 0.500
Nb 0.000 0.000 0.500
Nb 0.000 0.500 0.000
Nb 0.500 0.000 0.000

Summary:
D(E_F): 0.357 states/eV/atom
energy of formation: 2.505 eV per atom
uncorrected energy: -4.0491 eV per atom


Compound: RbMg2Nb
Source: Alexandria
Functional: PBE
Structure: relaxed

abc: 7.154 7.154 7.154
angles: 103.95 103.95 121.20
Atoms (fractional coordinates):
Rb 0.000 0.000 0.000
Rb 0.750 0.250 0.500
Mg 0.183 0.625 0.058
Mg 0.375 0.433 0.558
Mg 0.567 0.125 0.942
Mg 0.875 0.817 0.442
Nb 0.250 0.750 0.500
Nb 0.500 0.500 0.000

Summary:
D(E_F): 0.823 states/eV/atom
energy of formation: 1.125 eV per atom
uncorrected energy: -2.4317 eV per atom


Compound: RbMgNb3
Source: Alexandria
Functional: PBE
Structure: relaxed

abc: 5.082 5.082 5.082
angles: 90.00 90.00 90.00
Atoms (fractional coordinates):
Rb 0.000 0.000 0.000
Mg 0.500 0.500 0.500
Nb 0.000 0.500 0.500
Nb 0.500 0.000 0.500
Nb 0.500 0.500 0.000

Summary:
D(E_F): 1.559 states/eV/atom
energy of formation: 2.109 eV per atom
uncorrected energy: -4.4448 eV per atom


Compound: RbMg14Nb
Source: Alexandria
Functional: PBE
Structure: relaxed

abc: 6.537 6.537 10.448
angles: 90.00 90.00 120.00
Atoms (fractional coordinates):
Rb 0.000 0.000 0.000
Mg 0.012 0.506 0.000
Mg 0.166 0.332 0.272
Mg 0.166 0.332 0.728
Mg 0.166 0.834 0.272
Mg 0.166 0.834 0.728
Mg 0.494 0.506 0.000
Mg 0.494 0.988 0.000
Mg 0.504 0.008 0.500
Mg 0.504 0.496 0.500
Mg 0.667 0.333 0.240
Mg 0.667 0.333 0.760
Mg 0.668 0.834 0.272
Mg 0.668 0.834 0.728
Mg 0.992 0.496 0.500
Nb 0.000 0.000 0.500

Summary:
D(E_F): 0.620 states/eV/atom
energy of formation: 0.206 eV per atom
uncorrected energy: -1.8793 eV per atom


Compound: Rb3MgNb
Source: Alexandria
Functional: PBE
Structure: relaxed

abc: 7.065 7.065 7.065
angles: 90.00 90.00 90.00
Atoms (fractional coordinates):
Rb 0.000 0.000 0.500
Rb 0.000 0.500 0.000
Rb 0.500 0.000 0.000
Mg 0.500 0.500 0.500
Nb 0.000 0.000 0.000

Summary:
D(E_F): 1.155 states/eV/atom
energy of formation: 1.204 eV per atom
uncorrected energy: -1.7093 eV per atom


Compound: RbMg6Nb
Source: Alexandria
Functional: PBE
Structure: relaxed

abc: 6.608 6.608 5.174
angles: 90.00 90.00 120.00
Atoms (fractional coordinates):
Rb 0.000 0.000 0.000
Mg 0.029 0.514 0.000
Mg 0.355 0.177 0.500
Mg 0.486 0.514 0.000
Mg 0.486 0.971 0.000
Mg 0.823 0.177 0.500
Mg 0.823 0.645 0.500
Nb 0.333 0.667 0.500

Summary:
D(E_F): 0.705 states/eV/atom
energy of formation: 0.364 eV per atom
uncorrected energy: -2.2112 eV per atom


Compound: RbMg6Nb
Source: Alexandria
Functional: PBE
Structure: relaxed

abc: 6.987 6.987 4.263
angles: 90.00 90.00 90.00
Atoms (fractional coordinates):
Rb 0.000 0.000 0.000
Mg 0.000 0.500 0.000
Mg 0.288 0.288 0.500
Mg 0.288 0.712 0.500
Mg 0.500 0.000 0.000
Mg 0.712 0.288 0.500
Mg 0.712 0.712 0.500
Nb 0.500 0.500 0.000

Summary:
D(E_F): 0.637 states/eV/atom
energy of formation: 0.347 eV per atom
uncorrected energy: -2.2283 eV per atom


Compound: RbMg2Nb
Source: Alexandria
Functional: PBE
Structure: relaxed

abc: 5.478 5.478 5.478
angles: 60.00 60.00 60.00
Atoms (fractional coordinates):
Rb 0.000 0.000 0.000
Mg 0.250 0.250 0.250
Mg 0.750 0.750 0.750
Nb 0.500 0.500 0.500

Summary:
D(E_F): 0.983 states/eV/atom
energy of formation: 0.994 eV per atom
uncorrected energy: -2.5624 eV per atom


Compound: RbMg14Nb
Source: Alexandria
Functional: PBE
Structure: relaxed

abc: 6.786 6.786 8.320
angles: 90.00 90.00 90.00
Atoms (fractional coordinates):
Rb 0.000 0.000 0.000
Mg 0.000 0.000 0.500
Mg 0.000 0.500 0.000
Mg 0.000 0.500 0.500
Mg 0.272 0.272 0.255
Mg 0.272 0.272 0.745
Mg 0.272 0.728 0.255
Mg 0.272 0.728 0.745
Mg 0.500 0.000 0.000
Mg 0.500 0.000 0.500
Mg 0.500 0.500 0.500
Mg 0.728 0.272 0.255
Mg 0.728 0.272 0.745
Mg 0.728 0.728 0.255
Mg 0.728 0.728 0.745
Nb 0.500 0.500 0.000

Summary:
D(E_F): 0.525 states/eV/atom
energy of formation: 0.172 eV per atom
uncorrected energy: -1.9136 eV per atom


Compound: Rb2MgNbS4
Source: Alexandria
Functional: PBE
Structure: relaxed

abc: 6.938 6.938 6.938
angles: 116.38 116.38 96.39
Atoms (fractional coordinates):
Rb 0.000 0.000 0.000
Rb 0.750 0.250 0.500
Mg 0.500 0.500 0.000
Nb 0.250 0.750 0.500
S 0.239 0.116 0.588
S 0.350 0.761 0.877
S 0.528 0.650 0.412
S 0.884 0.472 0.123

Summary:
D(E_F): 0.539 states/eV/atom
uncorrected energy: -4.8727 eV per atom


Compound: RbMgNb2Se
Source: Alexandria
Functional: PBE
Structure: relaxed

abc: 4.865 4.865 5.430
angles: 90.00 90.00 90.00
Atoms (fractional coordinates):
Rb 0.000 0.000 0.000
Mg 0.000 0.000 0.500
Nb 0.000 0.500 0.000
Nb 0.500 0.000 0.000
Se 0.500 0.500 0.500

Summary:
D(E_F): 1.599 states/eV/atom
uncorrected energy: -2.7830 eV per atom


Compound: Rb2MgNbSe4
Source: Alexandria
Functional: PBE
Structure: relaxed

abc: 14.519 12.982 7.860
angles: 84.51 62.88 32.61
Atoms (fractional coordinates):
Rb 0.054 0.054 0.696
Rb 0.304 0.304 0.946
Rb 0.696 0.696 0.054
Rb 0.946 0.946 0.304
Mg 0.125 0.125 0.125
Mg 0.875 0.875 0.875
Nb 0.375 0.375 0.375
Nb 0.625 0.625 0.625
Se 0.017 0.342 0.434
Se 0.293 0.566 0.658
Se 0.342 0.017 0.707
Se 0.434 0.707 0.017
Se 0.566 0.293 0.983
Se 0.658 0.983 0.293
Se 0.707 0.434 0.342
Se 0.983 0.658 0.566

Summary:
D(E_F): 0.370 states/eV/atom
uncorrected energy: -4.4575 eV per atom


Compound: RbMgNb2Sn
Source: Alexandria
Functional: PBE
Structure: relaxed

abc: 4.920 4.920 5.789
angles: 90.00 90.00 90.00
Atoms (fractional coordinates):
Rb 0.000 0.000 0.000
Mg 0.500 0.500 0.500
Nb 0.000 0.500 0.000
Nb 0.500 0.000 0.000
Sn 0.000 0.000 0.500

Summary:
D(E_F): 1.073 states/eV/atom
energy of formation: 2.368 eV per atom
uncorrected energy: -2.9725 eV per atom


Compound: RbMgTaNb2
Source: Alexandria
Functional: PBE
Structure: relaxed

abc: 5.073 5.073 5.084
angles: 90.00 90.00 90.00
Atoms (fractional coordinates):
Rb 0.000 0.000 0.000
Mg 0.500 0.500 0.500
Ta 0.500 0.500 0.000
Nb 0.000 0.500 0.500
Nb 0.500 0.000 0.500

Summary:
D(E_F): 1.638 states/eV/atom
energy of formation: 2.202 eV per atom
uncorrected energy: -4.7090 eV per atom


Compound: RbY2MgNb
Source: Alexandria
Functional: PBE
Structure: relaxed

abc: 5.484 5.484 6.192
angles: 90.00 90.00 90.00
Atoms (fractional coordinates):
Rb 0.000 0.000 0.000
Y 0.000 0.500 0.500
Y 0.500 0.000 0.500
Mg 0.500 0.500 0.000
Nb 0.000 0.000 0.500

Summary:
D(E_F): 1.030 states/eV/atom
energy of formation: 0.943 eV per atom
uncorrected energy: -4.1689 eV per atom


Compound: RbMgNb2Zn
Source: Alexandria
Functional: PBE
Structure: relaxed

abc: 4.878 4.878 5.153
angles: 90.00 90.00 90.00
Atoms (fractional coordinates):
Rb 0.000 0.000 0.000
Mg 0.000 0.000 0.500
Nb 0.000 0.500 0.000
Nb 0.500 0.000 0.000
Zn 0.500 0.500 0.500

Summary:
D(E_F): 1.422 states/eV/atom
energy of formation: 2.496 eV per atom
uncorrected energy: -2.2990 eV per atom


Compound: Mg3NbRe
Source: Alexandria
Functional: PBE
Structure: relaxed

abc: 4.889 4.889 4.889
angles: 90.00 90.00 90.00
Atoms (fractional coordinates):
Mg 0.000 0.000 0.500
Mg 0.000 0.500 0.000
Mg 0.500 0.000 0.000
Nb 0.500 0.500 0.500
Re 0.000 0.000 0.000

Summary:
D(E_F): 1.610 states/eV/atom
energy of formation: 1.497 eV per atom
uncorrected energy: -3.9634 eV per atom


Compound: Mg2NbRe
Source: Alexandria
Functional: PBE
Structure: relaxed

abc: 5.937 5.937 5.937
angles: 101.66 101.66 126.56
Atoms (fractional coordinates):
Mg 0.109 0.625 0.984
Mg 0.375 0.359 0.484
Mg 0.641 0.125 0.016
Mg 0.875 0.891 0.516
Nb 0.250 0.750 0.500
Nb 0.500 0.500 0.000
Re 0.000 0.000 0.000
Re 0.750 0.250 0.500

Summary:
D(E_F): 0.973 states/eV/atom
energy of formation: 0.928 eV per atom
uncorrected energy: -5.4988 eV per atom


Compound: MgNb3Re
Source: Alexandria
Functional: PBE
Structure: relaxed

abc: 4.894 4.894 4.894
angles: 90.00 90.00 90.00
Atoms (fractional coordinates):
Mg 0.000 0.000 0.000
Nb 0.000 0.500 0.500
Nb 0.500 0.000 0.500
Nb 0.500 0.500 0.000
Re 0.500 0.500 0.500

Summary:
D(E_F): 0.929 states/eV/atom
energy of formation: 0.984 eV per atom
uncorrected energy: -7.8660 eV per atom


Compound: MgNbRe3
Source: Alexandria
Functional: PBE
Structure: relaxed

abc: 4.455 4.455 4.455
angles: 90.00 90.00 90.00
Atoms (fractional coordinates):
Mg 0.000 0.000 0.000
Nb 0.500 0.500 0.500
Re 0.000 0.000 0.500
Re 0.000 0.500 0.000
Re 0.500 0.000 0.000

Summary:
D(E_F): 1.807 states/eV/atom
energy of formation: 2.102 eV per atom
uncorrected energy: -7.6994 eV per atom


Compound: MgNb3Re
Source: Alexandria
Functional: PBE
Structure: relaxed

abc: 4.630 4.630 4.630
angles: 90.00 90.00 90.00
Atoms (fractional coordinates):
Mg 0.000 0.000 0.000
Nb 0.000 0.000 0.500
Nb 0.000 0.500 0.000
Nb 0.500 0.000 0.000
Re 0.500 0.500 0.500

Summary:
D(E_F): 1.527 states/eV/atom
energy of formation: 2.037 eV per atom
uncorrected energy: -6.8131 eV per atom


Compound: MgNbRe3
Source: Alexandria
Functional: PBE
Structure: relaxed

abc: 4.797 4.797 4.797
angles: 90.00 90.00 90.00
Atoms (fractional coordinates):
Mg 0.000 0.000 0.000
Nb 0.500 0.500 0.500
Re 0.000 0.500 0.500
Re 0.500 0.000 0.500
Re 0.500 0.500 0.000

Summary:
D(E_F): 1.203 states/eV/atom
energy of formation: 2.079 eV per atom
uncorrected energy: -7.7226 eV per atom


Compound: Mg2NbRe
Source: Alexandria
Functional: PBE
Structure: relaxed

abc: 4.598 4.598 4.598
angles: 60.00 60.00 60.00
Atoms (fractional coordinates):
Mg 0.250 0.250 0.250
Mg 0.750 0.750 0.750
Nb 0.000 0.000 0.000
Re 0.500 0.500 0.500

Summary:
D(E_F): 0.780 states/eV/atom
energy of formation: 0.684 eV per atom
uncorrected energy: -5.7428 eV per atom


Compound: Mg2NbReRh
Source: Alexandria
Functional: PBE
Structure: relaxed

abc: 5.096 5.096 4.525
angles: 90.00 90.00 90.00
Atoms (fractional coordinates):
Mg 0.000 0.500 0.000
Mg 0.500 0.000 0.000
Nb 0.000 0.000 0.000
Re 0.000 0.000 0.500
Rh 0.500 0.500 0.500

Summary:
D(E_F): 1.035 states/eV/atom
energy of formation: 1.701 eV per atom
uncorrected energy: -4.9102 eV per atom